Crystalline Ac2La3DyTe6 at its relaxed geometry, computed with PBE.

Cell and atoms, written as CIF:
```
data_Ac2La3DyTe6
_chemical_formula_sum 'Ac4 La6 Dy2 Te12'
_cell_length_a 7.953
_cell_length_b 13.826
_cell_length_c 7.956
_cell_angle_alpha 90.00
_cell_angle_beta 109.66
_cell_angle_gamma 90.00
_symmetry_space_group_name_H-M 'C 1 2/m 1'
_symmetry_Int_Tables_number 12
_symmetry_space_group_name_Hall '-C 2y'
loop_
_atom_site_label
_atom_site_type_symbol
_atom_site_fract_x
_atom_site_fract_y
_atom_site_fract_z
Ac1 Ac 0.000 0.165 0.000
La1 La 0.000 0.000 0.500
La2 La 0.000 0.324 0.500
Dy1 Dy 0.000 0.500 0.000
Te1 Te 0.230 0.500 0.743
Te2 Te 0.240 0.341 0.247
```

Calculated values
Density   7.251 g cm⁻³
Raw formation energy   -1735 kJ/mol of formula units


Crystalline MnRhS at its relaxed geometry, computed with PBE.

Cell and atoms, written as CIF:
```
data_MnRhS
_chemical_formula_sum 'Mn2 Rh2 S2'
_cell_length_a 2.804
_cell_length_b 2.804
_cell_length_c 13.081
_cell_angle_alpha 90.07
_cell_angle_beta 94.62
_cell_angle_gamma 120.00
_symmetry_space_group_name_H-M 'P 1'
_symmetry_Int_Tables_number 1
_symmetry_space_group_name_Hall 'P 1'
loop_
_atom_site_label
_atom_site_type_symbol
_atom_site_fract_x
_atom_site_fract_y
_atom_site_fract_z
Mn1 Mn 0.000 0.000 0.000
Mn2 Mn 0.090 0.542 0.514
Rh1 Rh 0.254 0.626 0.842
Rh2 Rh 0.502 0.248 0.670
S1 S 0.367 0.180 0.403
S2 S 0.389 0.695 0.111
```

Calculated values
Density   7.110 g cm⁻³
Raw formation energy   -59 kJ/mol of formula units


Crystalline Ba2CuOsN at its relaxed geometry, computed with PBE.

Cell and atoms, written as CIF:
```
data_Ba2CuOsN
_chemical_formula_sum 'Ba2 Cu1 Os1 N1'
_cell_length_a 5.794
_cell_length_b 5.794
_cell_length_c 3.801
_cell_angle_alpha 90.00
_cell_angle_beta 90.00
_cell_angle_gamma 90.00
_symmetry_space_group_name_H-M 'P 4/m m m'
_symmetry_Int_Tables_number 123
_symmetry_space_group_name_Hall '-P 4 2'
loop_
_atom_site_label
_atom_site_type_symbol
_atom_site_fract_x
_atom_site_fract_y
_atom_site_fract_z
Ba1 Ba 0.000 0.500 0.000
Cu1 Cu 0.000 0.000 0.500
Os1 Os 0.500 0.500 0.500
N1 N 0.500 0.500 0.000
```

Calculated values
Density   7.061 g cm⁻³
Raw formation energy   -64 kJ/mol of formula units


Crystalline MgSc6Zn5 at its relaxed geometry, computed with PBE.

Cell and atoms, written as CIF:
```
data_MgSc6Zn5
_chemical_formula_sum 'Mg2 Sc12 Zn10'
_cell_length_a 4.772
_cell_length_b 6.808
_cell_length_c 14.341
_cell_angle_alpha 90.00
_cell_angle_beta 90.00
_cell_angle_gamma 90.00
_symmetry_space_group_name_H-M 'I m m m'
_symmetry_Int_Tables_number 71
_symmetry_space_group_name_Hall '-I 2 2'
loop_
_atom_site_label
_atom_site_type_symbol
_atom_site_fract_x
_atom_site_fract_y
_atom_site_fract_z
Mg1 Mg 0.000 0.000 0.000
Sc1 Sc 0.000 0.237 0.500
Sc2 Sc 0.000 0.256 0.171
Zn1 Zn 0.000 0.000 0.334
Zn2 Zn 0.000 0.500 0.000
Zn3 Zn 0.000 0.500 0.343
```

Calculated values
ΔE_f   -0.310 eV/atom
Density   4.428 g cm⁻³


Crystalline Na2TaIn at its relaxed geometry, computed with PBE.

Cell and atoms, written as CIF:
```
data_Na2TaIn
_chemical_formula_sum 'Na8 Ta4 In4'
_cell_length_a 8.491
_cell_length_b 8.491
_cell_length_c 5.770
_cell_angle_alpha 90.00
_cell_angle_beta 90.00
_cell_angle_gamma 90.00
_symmetry_space_group_name_H-M 'I -4 2 d'
_symmetry_Int_Tables_number 122
_symmetry_space_group_name_Hall 'I -4 2bw'
loop_
_atom_site_label
_atom_site_type_symbol
_atom_site_fract_x
_atom_site_fract_y
_atom_site_fract_z
Na1 Na 0.236 0.750 0.125
Ta1 Ta 0.000 0.000 0.500
In1 In 0.000 0.000 0.000
```

Calculated values
ΔE_f   1.073 eV/atom
Density   5.457 g cm⁻³


Crystalline PrHo2ScBi4 at its relaxed geometry, computed with PBE.

Cell and atoms, written as CIF:
```
data_PrHo2ScBi4
_chemical_formula_sum 'Pr1 Ho2 Sc1 Bi4'
_cell_length_a 7.730
_cell_length_b 4.471
_cell_length_c 7.741
_cell_angle_alpha 90.00
_cell_angle_beta 109.49
_cell_angle_gamma 90.00
_symmetry_space_group_name_H-M 'P 1 2/m 1'
_symmetry_Int_Tables_number 10
_symmetry_space_group_name_Hall '-P 2y'
loop_
_atom_site_label
_atom_site_type_symbol
_atom_site_fract_x
_atom_site_fract_y
_atom_site_fract_z
Pr1 Pr 0.000 0.000 0.000
Ho1 Ho 0.000 0.500 0.500
Ho2 Ho 0.500 0.000 0.500
Sc1 Sc 0.500 0.500 0.000
Bi1 Bi 0.262 0.500 0.254
Bi2 Bi 0.263 0.000 0.755
```

Calculated values
ΔE_f   -0.797 eV/atom
Density   8.900 g cm⁻³


Crystalline Rb2GeCl2F4 at its relaxed geometry, computed with PBE.

Cell and atoms, written as CIF:
```
data_Rb2GeCl2F4
_chemical_formula_sum 'Rb4 Ge2 Cl4 F8'
_cell_length_a 11.944
_cell_length_b 6.232
_cell_length_c 5.300
_cell_angle_alpha 90.00
_cell_angle_beta 92.38
_cell_angle_gamma 90.00
_symmetry_space_group_name_H-M 'C 1 2/m 1'
_symmetry_Int_Tables_number 12
_symmetry_space_group_name_Hall '-C 2y'
loop_
_atom_site_label
_atom_site_type_symbol
_atom_site_fract_x
_atom_site_fract_y
_atom_site_fract_z
Rb1 Rb 0.142 0.000 0.161
Ge1 Ge 0.000 0.500 0.500
Cl1 Cl 0.178 0.500 0.334
F1 F 0.046 0.289 0.722
```

Calculated values
Density   3.290 g cm⁻³
Raw formation energy   -1957 kJ/mol of formula units


Crystalline LaDy2Cd4 at its relaxed geometry, computed with PBE.

Cell and atoms, written as CIF:
```
data_LaDy2Cd4
_chemical_formula_sum 'La2 Dy4 Cd8'
_cell_length_a 5.292
_cell_length_b 5.292
_cell_length_c 14.950
_cell_angle_alpha 90.00
_cell_angle_beta 90.00
_cell_angle_gamma 90.00
_symmetry_space_group_name_H-M 'I 4/m m m'
_symmetry_Int_Tables_number 139
_symmetry_space_group_name_Hall '-I 4 2'
loop_
_atom_site_label
_atom_site_type_symbol
_atom_site_fract_x
_atom_site_fract_y
_atom_site_fract_z
La1 La 0.000 0.000 0.000
Dy1 Dy 0.000 0.000 0.255
Cd1 Cd 0.000 0.500 0.127
```

Calculated values
ΔE_f   -0.140 eV/atom
Density   7.245 g cm⁻³


Spin magnetization? In order: 0.00, 0.00, 0.00, 0.00, 8.92, 0.00, 0.00, 0.28 Bohr magnetons per cell.